First-principles (PBE with a Hubbard U) data for a geometry-optimized KCr2FeO10 structure, as listed in Alexandria.

## Properties
N(E_F), states/eV/atom: 0.422
Mass density, Mg/m³: 2.66
Energy, eV/atom: -5.878

a b c (Å): 11.1951 5.4683 8.1732
angles (deg): 90.00 116.29 90.00
With the nearest neighbours (Å) after each atom.
Space group C2/m (No. 12)
Symmetry-distinct sites (fractional):
K (0.0000, 0.0000, 0.0000)  6 O 2.79-3.00
Cr (0.1022, 0.5000, 0.7669)  4 O 1.61-1.73
Fe (0.0000, 0.0000, 0.5000)  6 O 1.80-1.91
O (0.0087, 0.2387, 0.6750)  1 Cr 1.73, 1 Fe 1.91
O (0.1402, 0.5000, 0.9824)  1 Cr 1.62
O (0.1786, 0.0000, 0.5900)  1 Fe 1.80
O (0.2349, 0.5000, 0.7369)  1 Cr 1.61

=====

First-principles (PBE with a Hubbard U) data for a geometry-optimized KCr2FeO9 structure, as listed in Alexandria.

## Properties
Mass density, Mg/m³: 2.70
Energy, eV/atom: -6.317

a b c (Å): 7.8632 5.5351 9.6940
angles (deg): 90.00 92.33 90.00
With the nearest neighbours (Å) after each atom.
Space group P2_1/m (No. 11)
Symmetry-distinct sites (fractional):
K (0.0222, 0.2500, 0.2170)  6 O 2.77-3.01
Cr (0.2253, 0.2500, 0.6307)  4 O 1.61-1.79
Cr (0.2936, 0.7500, 0.0966)  4 O 1.63-1.69
Fe (0.4860, 0.7500, 0.7571)  6 O 1.98-2.04
O (0.0205, 0.2500, 0.6301)  1 Cr 1.61
O (0.0899, 0.7500, 0.0580)  1 Cr 1.63
O (0.2692, 0.2500, 0.4514)  1 O 1.39
O (0.3015, 0.5009, 0.7072)  1 Cr 1.67
O (0.3397, 0.9999, 0.1901)  1 Cr 1.69
O (0.4015, 0.7500, 0.9529)  1 Cr 1.66
O (0.4448, 0.2500, 0.4371)  1 O 1.39

=====

- Among the records above, which one has the highest energy?
  KCr2FeO10

=====

Repeat the second record exactly.
First-principles (PBE with a Hubbard U) data for a geometry-optimized KCr2FeO9 structure, as listed in Alexandria.

## Properties
Mass density, Mg/m³: 2.70
Energy, eV/atom: -6.317

a b c (Å): 7.8632 5.5351 9.6940
angles (deg): 90.00 92.33 90.00
With the nearest neighbours (Å) after each atom.
Space group P2_1/m (No. 11)
Symmetry-distinct sites (fractional):
K (0.0222, 0.2500, 0.2170)  6 O 2.77-3.01
Cr (0.2253, 0.2500, 0.6307)  4 O 1.61-1.79
Cr (0.2936, 0.7500, 0.0966)  4 O 1.63-1.69
Fe (0.4860, 0.7500, 0.7571)  6 O 1.98-2.04
O (0.0205, 0.2500, 0.6301)  1 Cr 1.61
O (0.0899, 0.7500, 0.0580)  1 Cr 1.63
O (0.2692, 0.2500, 0.4514)  1 O 1.39
O (0.3015, 0.5009, 0.7072)  1 Cr 1.67
O (0.3397, 0.9999, 0.1901)  1 Cr 1.69
O (0.4015, 0.7500, 0.9529)  1 Cr 1.66
O (0.4448, 0.2500, 0.4371)  1 O 1.39

=====

- Look up the mass density of the second one.
  2.70 Mg/m³

=====

- Number 1 is which compound?
  KCr2FeO10